DFT (PBE) results for an optimized crystal structure of NdDy12Y7.

Computed properties:
Polymorph energy (0 for the lowest one): 470.3 meV per atom
Formation enthalpy at 0 K: 0.718 eV/atom

Cell lengths 9.763, 9.763, 9.763 Å; angles 109.47, 109.47, 109.47 degrees
Element x y z (fractional)
Dy 0.746 0.746 0.492
Y 0.000 0.500 0.000
Y 0.500 0.000 0.500
Dy 0.746 0.254 0.001
Dy 0.999 0.254 0.746
Y 0.000 0.000 0.500
Dy 0.254 0.254 0.508
Dy 0.746 0.492 0.746
Y 0.500 0.000 0.000
Dy 0.254 0.001 0.746
Y 0.500 0.500 0.500
Dy 0.001 0.746 0.254
Dy 0.492 0.746 0.746
Y 0.500 0.500 0.000
Dy 0.254 0.746 0.999
Y 0.000 0.500 0.500
Dy 0.746 0.999 0.254
Nd 0.000 0.000 0.000
Dy 0.508 0.254 0.254
Dy 0.254 0.508 0.254

DFT (PBE) results for an optimized crystal structure of NdDy3Y4.

Computed properties:
Polymorph energy (0 for the lowest one): 0.0 meV per atom
Formation enthalpy at 0 K: 0.008 eV/atom

Cell lengths 6.318, 7.313, 11.346 Å; angles 90.00, 90.00, 90.00 degrees
Element x y z (fractional)
Y 0.147 0.875 0.500
Y 0.646 0.125 0.500
Nd 0.649 0.624 0.500
Dy 0.980 0.625 0.750
Y 0.483 0.875 0.248
Y 0.483 0.875 0.752
Y 0.647 0.125 0.000
Y 0.983 0.125 0.748
Y 0.983 0.125 0.252
Dy 0.480 0.375 0.250
Dy 0.648 0.625 0.000
Dy 0.148 0.375 0.500
Dy 0.980 0.625 0.250
Nd 0.149 0.376 0.000
Dy 0.480 0.375 0.750
Y 0.146 0.875 0.000